1.
A plane-wave DFT calculation with PBE-GGA was carried out for a relaxed structure of Ta2TeC2.

Crystal system: tetragonal
Raw formation energy: 67.00 kJ/mol of atoms
Magnetization: 0.0 μB per formula unit
Raw total energy: -8.365 eV per atom
Offset from the most stable computed form: 11.46 kcal/mol of atoms

a b c (Å): 6.760 6.760 3.108
angles (deg): 90.00 90.00 90.00
Space group P4/mbm (No. 127)
Inequivalent atoms, fractional coordinates:
Ta 0.151 0.349 0.000 [4 per cell]
Te 0.000 0.000 0.500 [2 per cell]
C 0.083 0.583 0.500 [4 per cell]

***

2.
A plane-wave DFT calculation with PBE-GGA was carried out for a relaxed structure of TaTe2C.

Crystal system: tetragonal
Raw formation energy: 124.14 kJ/mol of atoms
Magnetization: 0.0 μB per formula unit
Raw total energy: -5.553 eV per atom

a b c (Å): 5.992 5.992 10.280
angles (deg): 90.00 90.00 90.00
Space group I-42d (No. 122)
Inequivalent atoms, fractional coordinates:
Ta 0.000 0.000 0.000 [4 per cell]
Te 0.195 0.250 0.625 [8 per cell]
C 0.000 0.000 0.500 [4 per cell]

***

3.
A plane-wave DFT calculation with PBE-GGA was carried out for a relaxed structure of Ta4Te5C.

Crystal system: monoclinic
Raw formation energy: -35.14 kJ/mol of atoms
Magnetization: 0.0 μB per formula unit
Raw total energy: -7.598 eV per atom

a b c (Å): 17.061 3.571 7.748
angles (deg): 90.00 103.34 90.00
Space group C2/m (No. 12)
Inequivalent atoms, fractional coordinates:
Ta 0.003 0.000 0.318 [4 per cell]
Ta 0.127 0.500 0.566 [4 per cell]
Te 0.000 0.500 0.000 [2 per cell]
Te 0.160 0.000 0.849 [4 per cell]
Te 0.171 0.000 0.327 [4 per cell]
C 0.000 0.500 0.500 [2 per cell]